[1]
Here is a relaxed structure of Sm3Sn6Rh5 from Alexandria via LeMat-Bulk. Energies are from PBE-GGA.

Cell: 4.448 9.781 13.602 Å, 90.00 90.00 90.00°
Sites, in units of the cell vectors:
Sn  0.500  0.021  0.657
Rh  0.000  0.866  0.344
Sm  0.500  0.751  0.203
Sm  0.500  0.731  0.500
Sn  0.000  0.593  0.320
Rh  0.000  0.795  0.000
Sn  0.500  0.021  0.343
Rh  0.000  0.540  0.887
Sm  0.000  0.249  0.703
Sn  0.000  0.397  0.500
Sm  0.500  0.751  0.797
Sn  0.500  0.407  0.180
Rh  0.500  0.460  0.387
Sn  0.500  0.407  0.820
Sm  0.000  0.269  0.000
Sn  0.000  0.036  0.500
Rh  0.500  0.134  0.844
Sn  0.000  0.979  0.157
Sn  0.000  0.593  0.680
Sn  0.500  0.603  0.000
Rh  0.500  0.460  0.613
Rh  0.500  0.134  0.156
Sm  0.000  0.249  0.297
Rh  0.000  0.866  0.656
Rh  0.500  0.205  0.500
Sn  0.500  0.964  0.000
Sn  0.000  0.979  0.843
Rh  0.000  0.540  0.113

ΔH_f (0 K) = -0.71 eV/atom

[2]
Here is a relaxed structure of Tb3Nd2Ru2 from Alexandria via LeMat-Bulk. Energies are from PBE-GGA.

Cell: 3.883 6.398 8.889 Å, 114.25 90.00 107.67°
Sites, in units of the cell vectors:
Nd  0.835  0.670  0.197
Nd  0.165  0.330  0.803
Ru  0.822  0.644  0.767
Tb  0.622  0.244  0.425
Ru  0.178  0.356  0.233
Tb  0.378  0.756  0.575
Tb  0.500  0.000  0.000

ΔH_f (0 K) = -0.28 eV/atom

[3]
Here is a relaxed structure of LiLaPr2Tl4 from Alexandria via LeMat-Bulk. Energies are from PBE-GGA.

Cell: 5.401 5.401 9.775 Å, 73.96 73.96 60.00°
Sites, in units of the cell vectors:
La  0.000  0.000  0.000
Tl  0.623  0.623  0.132
Pr  0.243  0.243  0.272
Pr  0.757  0.757  0.728
Tl  0.873  0.873  0.381
Tl  0.127  0.127  0.619
Tl  0.377  0.377  0.868
Li  0.500  0.500  0.500

ΔH_f (0 K) = -0.36 eV/atom

[4]
Here is a relaxed structure of HfHAu from Alexandria via LeMat-Bulk. Energies are from PBE-GGA.

Cell: 3.396 3.396 7.187 Å, 89.99 89.99 90.00°
Sites, in units of the cell vectors:
H  0.314  0.866  0.920
Hf  0.814  0.867  0.097
H  0.814  0.367  0.920
Au  0.314  0.366  0.306
Au  0.814  0.866  0.533
Hf  0.313  0.366  0.742

| no. | VASP energy (eV/atom) | density (g/cm3) | density of states at the Fermi level (states/eV per atom) |
| --- | --- | --- | --- |
| 1 | -6.06 | 9.42 | 0.48 |
| 2 | -6.27 | 8.46 | 0.69 |
| 3 | -3.59 | 8.83 | 0.69 |
| 4 | -6.02 | 15.08 | 0.60 |